A crystal of MnPd3Cl relaxed with PBEsol, computed with meta-GGA SCAN.

Lattice parameters (Å, degrees): 4.6088 4.6088 4.6088 90.00 90.00 90.00
Fractional coordinates of all 5 atoms:
Mn: 0.0000 0.0000 0.0000
Pd: 0.0000 0.0000 0.5000
Pd: 0.0000 0.5000 0.0000
Pd: 0.5000 0.0000 0.0000
Cl: 0.5000 0.5000 0.5000

Energy above the lowest structure with this stoichiometry = 272 meV/atom
Electronic total energy = -24.263 eV per atom
Raw formation energy = 0.6483 eV per atom